1.
Sr5Ir6O18: single point on PBEsol structure, SCAN.

Cell lengths 8.0317, 8.0317, 8.0317 Å; angles 109.47, 109.47, 109.47 degrees
Fractional positions:
Sr  0.0000  0.0000  0.0000
Sr  0.5000  0.0000  0.0000
Sr  0.0000  0.5000  0.0000
Sr  0.5000  0.5000  0.5000
Sr  0.0000  0.0000  0.5000
O  0.3358  0.2884  0.6241
O  0.6560  0.6560  0.0000
O  0.7116  0.3759  0.6642
O  0.3358  0.7116  0.0474
O  0.6241  0.3358  0.2884
O  0.3759  0.6642  0.7116
O  0.7116  0.0474  0.3358
O  0.0000  0.6560  0.6560
O  0.9526  0.6642  0.2884
O  0.2884  0.9526  0.6642
O  0.0474  0.3358  0.7116
O  0.3440  0.3440  0.0000
O  0.3440  0.0000  0.3440
O  0.0000  0.3440  0.3440
O  0.6642  0.2884  0.9526
O  0.2884  0.6241  0.3358
O  0.6560  0.0000  0.6560
O  0.6642  0.7116  0.3759
Ir  0.5000  0.1542  0.6542
Ir  0.3458  0.5000  0.8458
Ir  0.5000  0.8458  0.3458
Ir  0.6542  0.5000  0.1542
Ir  0.1542  0.6542  0.5000
Ir  0.8458  0.3458  0.5000

The symmetry is Im-3. The uncorrected formation energy comes out at -1.58 eV/atom. The calculated density comes out at 7.825 g/cm3. As for the total DFT energy (no corrections): -695.8 eV for the cell shown. The calculation puts the total magnetization at 0.00 μB/f.u.

2.
SrIrO3: single point on PBEsol structure, SCAN.

Cell lengths 5.5364, 5.6202, 7.8460 Å; angles 90.00, 90.00, 90.00 degrees
Each line ends with the local moment (μB).
Fractional positions:
O  0.2062  0.2073  0.9595  0.11
O  0.5786  0.0226  0.7500  0.11
O  0.7062  0.2927  0.4595  0.11
O  0.2938  0.7073  0.5405  0.11
O  0.2062  0.2073  0.5405  0.11
O  0.0786  0.4774  0.2500  0.11
O  0.4214  0.9774  0.2500  0.11
O  0.9214  0.5226  0.7500  0.11
O  0.7938  0.7927  0.0405  0.11
O  0.2938  0.7073  0.9595  0.11
O  0.7938  0.7927  0.4595  0.11
O  0.7062  0.2927  0.0405  0.11
Sr  0.0087  0.9581  0.7500  0.00
Sr  0.5087  0.5419  0.2500  0.00
Sr  0.9913  0.0419  0.2500  0.00
Sr  0.4913  0.4581  0.7500  0.00
Ir  0.0000  0.5000  0.0000  0.60
Ir  0.0000  0.5000  0.5000  0.60
Ir  0.5000  0.0000  0.0000  0.60
Ir  0.5000  0.0000  0.5000  0.60

The symmetry is Pnma. The uncorrected formation energy comes out at -1.80 eV/atom. The calculated density comes out at 8.919 g/cm3. As for the total DFT energy (no corrections): -484.2 eV for the cell shown. The calculation puts the total magnetization at 0.99 μB/f.u.

3.
Sr4Ir3O10: single point on PBEsol structure, SCAN.

Cell lengths 3.9217, 3.9217, 14.4815 Å; angles 97.78, 97.78, 90.00 degrees
Each line ends with the local moment (μB).
Fractional positions:
O  0.3623  0.8623  0.7245  -0.12
O  0.6377  0.1377  0.2755  -0.12
O  0.5000  0.0000  0.0000  0.15
O  0.7868  0.7868  0.5736  -0.01
O  0.1377  0.6377  0.2755  -0.12
O  0.0000  0.5000  0.0000  0.15
O  0.9298  0.9298  0.8596  0.02
O  0.2132  0.2132  0.4264  -0.01
O  0.0702  0.0702  0.1404  0.02
O  0.8623  0.3623  0.7245  -0.12
Ir  0.8572  0.8572  0.7144  -0.53
Ir  0.0000  0.0000  0.0000  0.66
Ir  0.1428  0.1428  0.2856  -0.53
Sr  0.5698  0.5698  0.1396  0.00
Sr  0.7024  0.7024  0.4049  0.00
Sr  0.2976  0.2976  0.5951  0.00
Sr  0.4302  0.4302  0.8604  0.00

The symmetry is I4/mmm. The uncorrected formation energy comes out at -1.90 eV/atom. The calculated density comes out at 8.258 g/cm3. As for the total DFT energy (no corrections): -397.1 eV for the cell shown. The calculation puts the total magnetization at 0.61 μB/f.u.

4.
SrIrO3: single point on PBEsol structure, SCAN.

Cell lengths 3.9517, 3.9517, 3.9517 Å; angles 90.00, 90.00, 90.00 degrees
Each line ends with the local moment (μB).
Fractional positions:
O  0.5000  0.0000  0.0000  0.09
O  0.0000  0.0000  0.5000  0.09
O  0.0000  0.5000  0.0000  0.09
Sr  0.5000  0.5000  0.5000  0.01
Ir  0.0000  0.0000  0.0000  0.53

The symmetry is Pm-3m. The uncorrected formation energy comes out at -1.70 eV/atom. The calculated density comes out at 8.822 g/cm3. As for the total DFT energy (no corrections): -120.5 eV for the cell shown. The calculation puts the total magnetization at 0.86 μB/f.u.

5.
SrIrO3: single point on PBEsol structure, SCAN.

Cell lengths 5.5352, 5.5352, 14.2389 Å; angles 91.69, 91.69, 120.15 degrees
Fractional positions:
Sr  0.0005  0.9995  0.2500
Sr  0.6732  0.3510  0.1044
Sr  0.3268  0.6490  0.8956
Sr  0.9995  0.0005  0.7500
Sr  0.3510  0.6732  0.6044
Sr  0.6490  0.3268  0.3956
O  0.9347  0.7291  0.5990
O  0.5084  0.4916  0.7500
O  0.5941  0.7861  0.4586
O  0.7861  0.5941  0.9586
O  0.4059  0.2139  0.5414
O  0.4916  0.5084  0.2500
O  0.7291  0.9347  0.0990
O  0.2101  0.9257  0.0995
O  0.9690  0.4940  0.7635
O  0.0743  0.7899  0.4005
O  0.0653  0.2709  0.4010
O  0.2139  0.4059  0.0414
O  0.2709  0.0653  0.9010
O  0.9257  0.2101  0.5995
O  0.4940  0.9690  0.2635
O  0.7899  0.0743  0.9005
O  0.0310  0.5060  0.2365
O  0.5060  0.0310  0.7365
Ir  0.6471  0.3135  0.8480
Ir  0.3529  0.6865  0.1520
Ir  0.3135  0.6471  0.3480
Ir  0.0000  0.0000  0.0000
Ir  0.0000  0.0000  0.5000
Ir  0.6865  0.3529  0.6520

The symmetry is C2/c. The uncorrected formation energy comes out at -1.81 eV/atom. The calculated density comes out at 8.673 g/cm3. As for the total DFT energy (no corrections): -726.6 eV for the cell shown. The calculation puts the total magnetization at 0.00 μB/f.u.

6.
SrTl2IrO: single point on PBEsol structure, SCAN.

Cell lengths 4.5998, 4.8170, 4.8170 Å; angles 90.00, 90.00, 90.00 degrees
Fractional positions:
Sr  0.5000  0.0000  0.0000
Ir  0.5000  0.5000  0.5000
O  0.0000  0.0000  0.0000
Tl  0.0000  0.5000  0.0000
Tl  0.0000  0.0000  0.5000

The symmetry is P4/mmm. The uncorrected formation energy comes out at -0.18 eV/atom. The calculated density comes out at 10.962 g/cm3. As for the total DFT energy (no corrections): -245.2 eV for the cell shown. The calculation puts the total magnetization at 0.00 μB/f.u.

7.
ZnTcIrO2: single point on PBEsol structure, SCAN.

Cell lengths 3.6126, 3.6126, 5.2086 Å; angles 90.00, 90.00, 90.00 degrees
Each line ends with the local moment (μB).
Fractional positions:
Tc  0.0000  0.0000  0.5000  2.07
O  0.5000  0.0000  0.0000  0.44
O  0.0000  0.5000  0.0000  0.44
Zn  0.0000  0.0000  0.0000  0.07
Ir  0.5000  0.5000  0.5000  0.66

The symmetry is P4/mmm. The uncorrected formation energy comes out at 0.90 eV/atom. The calculated density comes out at 9.469 g/cm3. As for the total DFT energy (no corrections): -127.6 eV for the cell shown. The calculation puts the total magnetization at 3.92 μB/f.u.

8.
TeIr3O: single point on PBEsol structure, SCAN.

Cell lengths 4.2192, 4.2192, 4.2192 Å; angles 90.00, 90.00, 90.00 degrees
Each line ends with the local moment (μB).
Fractional positions:
O  0.0000  0.0000  0.0000  0.05
Ir  0.0000  0.5000  0.0000  0.59
Ir  0.5000  0.0000  0.0000  0.59
Ir  0.0000  0.0000  0.5000  0.59
Te  0.5000  0.5000  0.5000  0.03

The symmetry is Pm-3m. The uncorrected formation energy comes out at 1.09 eV/atom. The calculated density comes out at 15.923 g/cm3. As for the total DFT energy (no corrections): -251.3 eV for the cell shown. The calculation puts the total magnetization at 1.79 μB/f.u.

9.
TeIrO6: single point on PBEsol structure, SCAN.

Cell lengths 4.9323, 5.1589, 7.2096 Å; angles 90.00, 90.21, 90.00 degrees
Fractional positions:
O  0.3374  0.3236  0.9307
O  0.8374  0.1764  0.4307
O  0.1712  0.8281  0.9298
O  0.1626  0.8236  0.5693
O  0.3625  0.0435  0.2457
O  0.6626  0.6764  0.0693
O  0.3288  0.3281  0.5702
O  0.6375  0.9565  0.7543
O  0.1375  0.5435  0.2543
O  0.8625  0.4565  0.7457
O  0.6712  0.6719  0.4298
O  0.8288  0.1719  0.0702
Ir  0.0000  0.5000  0.5000
Ir  0.5000  0.0000  0.0000
Te  0.5000  0.0000  0.5000
Te  0.0000  0.5000  0.0000

The symmetry is P2_1/c. The uncorrected formation energy comes out at -0.67 eV/atom. The calculated density comes out at 7.528 g/cm3. As for the total DFT energy (no corrections): -302.2 eV for the cell shown. The calculation puts the total magnetization at 0.00 μB/f.u.

10.
Ti3IrO: single point on PBEsol structure, SCAN.

Cell lengths 4.0319, 4.0319, 4.0319 Å; angles 90.00, 90.00, 90.00 degrees
Fractional positions:
Ir  0.5000  0.5000  0.5000
Ti  0.0000  0.5000  0.0000
Ti  0.5000  0.0000  0.0000
Ti  0.0000  0.0000  0.5000
O  0.0000  0.0000  0.0000

The symmetry is Pm-3m. The uncorrected formation energy comes out at -1.61 eV/atom. The calculated density comes out at 8.914 g/cm3. As for the total DFT energy (no corrections): -133.5 eV for the cell shown. The calculation puts the total magnetization at 0.03 μB/f.u.

Question: total magnetization of number 2 (SrIrO3)?
Answer: 0.99 μB/f.u.